Below is a relaxed structure of OsRuW, with properties calculated at the GGA-PBE level.

abc: 4.9285 4.9285 4.9285
angles: 141.70 141.70 55.28
With the nearest neighbours (Å) after each atom.
Atoms (fractional coordinates):
Os (0.0095, 0.0095, 0.0000)  4 W 2.66, 5 Ru 2.76-2.79
Ru (0.3258, 0.3258, 0.0000)  5 W 2.68-2.96, 5 Os 2.76-2.79
W (0.6647, 0.6647, 0.0000)  4 Os 2.66, 5 Ru 2.68-2.96

The volume is 15.22 A^3/atom. The crystal system is tetragonal. Its space group is I4mm (107). The value obtained for the density of states at the Fermi level is 1.431 states/eV/atom. The energy above the most stable polymorph in this dataset comes out at 336.6 meV/atom. The formation energy is 0.382 eV/atom.